1.
Crystalline MgCuTe at its relaxed geometry. Source: the Alexandria database, functional GGA-PBE.

Lattice parameters (Å, degrees): 7.644 4.399 8.852 90.00 106.04 90.00
Space group Cm (No. 8)
One atom of each set of equivalent atoms:
Mg 0.000 0.000 0.000 [2 per cell]
Mg 0.083 0.500 0.740 [2 per cell]
Cu 0.187 0.500 0.062 [2 per cell]
Cu 0.302 0.000 0.906 [2 per cell]
Te 0.206 0.000 0.599 [2 per cell]
Te 0.404 0.000 0.216 [2 per cell]

Results
energy relative to the lowest polymorph listed for this composition	0.0	kJ/mol of formula units
E_tot	-3.251	eV per atom
D(E_F)	0.4	states/eV/f.u.
raw formation energy	-0.307	eV per atom


2.
Crystalline YMg2W at its relaxed geometry. Source: the Alexandria database, functional GGA-PBE.

Lattice parameters (Å, degrees): 3.126 5.319 10.321 90.00 90.00 90.00
Space group Imm2 (No. 44)
One atom of each set of equivalent atoms:
Y 0.000 0.000 0.000 [2 per cell]
Mg 0.000 0.000 0.473 [2 per cell]
Mg 0.000 0.500 0.222 [2 per cell]
W 0.000 0.500 0.743 [2 per cell]

Results
energy relative to the lowest polymorph listed for this composition	51.4	kJ/mol of formula units
E_tot	-5.173	eV per atom
D(E_F)	3.4	states/eV/f.u.


3.
Crystalline LiTc2PbI at its relaxed geometry. Source: the Alexandria database, functional GGA-PBE.

Lattice parameters (Å, degrees): 4.821 4.821 4.617 90.00 90.00 90.00
Space group P4/mmm (No. 123)
One atom of each set of equivalent atoms:
Li 0.000 0.000 0.000 [1 per cell]
Tc 0.000 0.500 0.000 [2 per cell]
Pb 0.500 0.500 0.500 [1 per cell]
I 0.000 0.000 0.500 [1 per cell]

Results
E_tot	-4.219	eV per atom
D(E_F)	4.4	states/eV/f.u.
raw formation energy	1.362	eV per atom


4.
Crystalline MgCr2Pd8 at its relaxed geometry. Source: the Alexandria database, functional GGA-PBE.

Lattice parameters (Å, degrees): 14.016 3.999 6.247 90.00 106.61 90.00
Space group C2/m (No. 12)
One atom of each set of equivalent atoms:
Mg 0.000 0.000 0.000 [2 per cell]
Cr 0.223 0.500 0.649 [4 per cell]
Pd 0.044 0.500 0.727 [4 per cell]
Pd 0.099 0.000 0.462 [4 per cell]
Pd 0.145 0.500 0.201 [4 per cell]
Pd 0.181 0.000 0.919 [4 per cell]

Results
E_tot	-5.870	eV per atom
D(E_F)	11.1	states/eV/f.u.


5.
Crystalline AcGdTm at its relaxed geometry. Source: the Alexandria database, functional GGA-PBE.

Lattice parameters (Å, degrees): 3.7253 3.7253 8.8741 90.00 90.00 120.00
Space group P3m1 (No. 156)
One atom of each set of equivalent atoms:
Ac 0.0000 0.0000 0.0000 [1 per cell]
Gd 0.6667 0.3333 0.3480 [1 per cell]
Tm 0.3333 0.6667 0.6627 [1 per cell]

Results
energy relative to the lowest polymorph listed for this composition	0.8	kJ/mol of formula units
E_tot	-7.488	eV per atom
D(E_F)	4.5	states/eV/f.u.


6.
Crystalline K2YSi at its relaxed geometry. Source: the Alexandria database, functional GGA-PBE.

Lattice parameters (Å, degrees): 4.311 6.334 12.497 90.00 90.00 90.00
Space group Imm2 (No. 44)
One atom of each set of equivalent atoms:
K 0.000 0.000 0.000 [2 per cell]
K 0.000 0.500 0.181 [2 per cell]
Y 0.000 0.000 0.353 [2 per cell]
Si 0.000 0.500 0.720 [2 per cell]

Results
E_tot	-3.251	eV per atom
D(E_F)	2.8	states/eV/f.u.
raw formation energy	0.269	eV per atom


7.
Crystalline P3PtO at its relaxed geometry. Source: the Alexandria database, functional GGA-PBE.

Lattice parameters (Å, degrees): 4.696 4.696 4.696 90.00 90.00 90.00
Space group Pm-3m (No. 221)
One atom of each set of equivalent atoms:
P 0.000 0.000 0.500 [3 per cell]
Pt 0.000 0.000 0.000 [1 per cell]
O 0.500 0.500 0.500 [1 per cell]

Results
energy relative to the lowest polymorph listed for this composition	365.5	kJ/mol of formula units
E_tot	-4.156	eV per atom
D(E_F)	4.4	states/eV/f.u.
raw formation energy	1.290	eV per atom


8.
Crystalline ZrScCdIn at its relaxed geometry. Source: the Alexandria database, functional GGA-PBE.

Lattice parameters (Å, degrees): 4.235 4.520 4.608 90.00 90.00 90.00
Space group Pmmm (No. 47)
One atom of each set of equivalent atoms:
Zr 0.000 0.000 0.000 [1 per cell]
Sc 0.000 0.500 0.500 [1 per cell]
Cd 0.500 0.000 0.500 [1 per cell]
In 0.500 0.500 0.000 [1 per cell]

Results
energy relative to the lowest polymorph listed for this composition	0.0	kJ/mol of formula units
E_tot	-4.915	eV per atom
D(E_F)	3.5	states/eV/f.u.


9.
Crystalline KTaO3 at its relaxed geometry. Source: the Alexandria database, functional GGA-PBE.

Lattice parameters (Å, degrees): 4.217 4.217 20.748 90.00 90.00 90.00
Space group I-4m2 (No. 119)
One atom of each set of equivalent atoms:
K 0.000 0.000 0.105 [4 per cell]
Ta 0.000 0.000 0.500 [2 per cell]
Ta 0.000 0.500 0.250 [2 per cell]
O 0.000 0.226 0.320 [8 per cell]
O 0.000 0.500 0.501 [4 per cell]

Results
E_tot	-7.040	eV per atom
D(E_F)	1.6	states/eV/f.u.
raw formation energy	-1.475	eV per atom


10.
Crystalline SrMgW at its relaxed geometry. Source: the Alexandria database, functional GGA-PBE.

Lattice parameters (Å, degrees): 4.021 4.289 15.816 90.00 90.00 90.00
Space group Fmm2 (No. 42)
One atom of each set of equivalent atoms:
Sr 0.000 0.000 0.000 [4 per cell]
Mg 0.000 0.000 0.696 [4 per cell]
W 0.000 0.000 0.332 [4 per cell]

Results
energy relative to the lowest polymorph listed for this composition	0.0	kJ/mol of formula units
E_tot	-4.585	eV per atom
D(E_F)	0.8	states/eV/f.u.


11.
Crystalline LiReTc2 at its relaxed geometry. Source: the Alexandria database, functional GGA-PBE.

Lattice parameters (Å, degrees): 3.038 4.256 4.318 90.00 90.00 90.00
Space group Pmmm (No. 47)
One atom of each set of equivalent atoms:
Li 0.000 0.000 0.000 [1 per cell]
Re 0.500 0.000 0.500 [1 per cell]
Tc 0.000 0.500 0.500 [1 per cell]
Tc 0.500 0.500 0.000 [1 per cell]

Results
energy relative to the lowest polymorph listed for this composition	99.7	kJ/mol of formula units
E_tot	-8.385	eV per atom
D(E_F)	4.0	states/eV/f.u.


12.
Crystalline CdAsRh3 at its relaxed geometry. Source: the Alexandria database, functional GGA-PBE.

Lattice parameters (Å, degrees): 4.854 4.854 4.854 90.00 90.00 90.00
Space group Pm-3m (No. 221)
One atom of each set of equivalent atoms:
Cd 0.000 0.000 0.000 [1 per cell]
As 0.500 0.500 0.500 [1 per cell]
Rh 0.000 0.000 0.500 [3 per cell]

Results
energy relative to the lowest polymorph listed for this composition	703.4	kJ/mol of formula units
E_tot	-3.894	eV per atom
D(E_F)	6.4	states/eV/f.u.